Density functional theory data (PBE+U) for crystalline RbDyCoF6 at its relaxed geometry.

Properties
* magnetization: 3.00 μB/f.u.
* uncorrected energy: -5.576 eV/atom
* N(E_F): 0.000 states/eV/f.u.
* space-group type: Imma, No. 74

POSCAR file:
```
RbDyCoF6
1.0
-2.844 -7.008 -0.923
2.594 -1.919 6.575
-4.316 5.977 -0.632
Rb Dy Co F
2 2 2 12
Direct
0.845 0.595 0.689 Rb
0.155 0.405 0.311 Rb
0.500 0.000 0.500 Dy
0.000 0.000 0.500 Dy
0.500 0.500 0.000 Co
0.500 0.000 0.000 Co
0.597 0.847 0.194 F
0.861 0.111 0.722 F
0.830 0.146 0.267 F
0.436 0.621 0.267 F
0.436 0.146 0.267 F
0.830 0.621 0.267 F
0.403 0.153 0.806 F
0.139 0.889 0.278 F
0.170 0.854 0.733 F
0.564 0.379 0.733 F
0.564 0.854 0.733 F
0.170 0.379 0.733 F
```